No. 1
# NdSm2HoTh | Alexandria via LeMat-Bulk | PBE | optimized geometry
data_NdSm2HoTh
_chemical_formula_sum 'Nd2 Sm4 Ho2 Th2'
_space_group_name_H-M_alt 'P 1 2/c 1'
_space_group_IT_number 13
_space_group_name_Hall '-P 2yc'
_cell_length_a 8.618
_cell_length_b 6.448
_cell_length_c 6.387
_cell_angle_alpha 90.00
_cell_angle_beta 97.92
_cell_angle_gamma 90.00
loop_
_atom_site_label
_atom_site_type_symbol
_atom_site_fract_x
_atom_site_fract_y
_atom_site_fract_z
_atom_site_occupancy
Nd1 Nd 0.000 0.000 0.000 1
Sm1 Sm 0.315 0.310 0.206 1
Ho1 Ho 0.500 0.174 0.750 1
Th1 Th 0.000 0.452 0.750 1
# - total DFT energy (no corrections) (eV per atom) = -4.924
# - energy of formation from the pure elements (eV per atom) = 0.316

No. 2
# NdSmHoTh | Alexandria via LeMat-Bulk | PBE | optimized geometry
data_NdSmHoTh
_chemical_formula_sum 'Nd4 Sm4 Ho4 Th4'
_space_group_name_H-M_alt 'F -4 3 m'
_space_group_IT_number 216
_space_group_name_Hall 'F -4 2 3'
_cell_length_a 8.095
_cell_length_b 8.095
_cell_length_c 8.095
_cell_angle_alpha 90.00
_cell_angle_beta 90.00
_cell_angle_gamma 90.00
loop_
_atom_site_label
_atom_site_type_symbol
_atom_site_fract_x
_atom_site_fract_y
_atom_site_fract_z
_atom_site_occupancy
Nd1 Nd 0.000 0.000 0.000 1
Sm1 Sm 0.250 0.250 0.750 1
Ho1 Ho 0.250 0.250 0.250 1
Th1 Th 0.000 0.000 0.500 1
# - total DFT energy (no corrections) (eV per atom) = -5.210
# - ΔE to the lowest computed polymorph (meV per atom) = 137.1
# - energy of formation from the pure elements (eV per atom) = 0.161

No. 3
# Nd2SmHoTl2 | Alexandria via LeMat-Bulk | PBE | optimized geometry
data_Nd2SmHoTl2
_chemical_formula_sum 'Nd4 Sm2 Ho2 Tl4'
_space_group_name_H-M_alt 'P m c 21'
_space_group_IT_number 26
_space_group_name_Hall 'P 2c -2'
_cell_length_a 5.190
_cell_length_b 10.224
_cell_length_c 6.932
_cell_angle_alpha 90.00
_cell_angle_beta 90.00
_cell_angle_gamma 90.00
loop_
_atom_site_label
_atom_site_type_symbol
_atom_site_fract_x
_atom_site_fract_y
_atom_site_fract_z
_atom_site_occupancy
Nd1 Nd 0.000 0.045 0.000 1
Nd2 Nd 0.500 0.184 0.274 1
Sm1 Sm 0.500 0.457 0.905 1
Ho1 Ho 0.000 0.314 0.623 1
Tl1 Tl 0.000 0.374 0.164 1
Tl2 Tl 0.500 0.144 0.741 1
# - total DFT energy (no corrections) (eV per atom) = -4.198
# - energy of formation from the pure elements (eV per atom) = -0.270

No. 4
# NdSmHo2Tl2 | Alexandria via LeMat-Bulk | PBE | optimized geometry
data_NdSmHo2Tl2
_chemical_formula_sum 'Nd2 Sm2 Ho4 Tl4'
_space_group_name_H-M_alt 'P m c 21'
_space_group_IT_number 26
_space_group_name_Hall 'P 2c -2'
_cell_length_a 5.148
_cell_length_b 10.158
_cell_length_c 6.833
_cell_angle_alpha 90.00
_cell_angle_beta 90.00
_cell_angle_gamma 90.00
loop_
_atom_site_label
_atom_site_type_symbol
_atom_site_fract_x
_atom_site_fract_y
_atom_site_fract_z
_atom_site_occupancy
Nd1 Nd 0.000 0.041 0.000 1
Sm1 Sm 0.500 0.189 0.728 1
Ho1 Ho 0.000 0.318 0.376 1
Ho2 Ho 0.500 0.459 0.094 1
Tl1 Tl 0.000 0.372 0.840 1
Tl2 Tl 0.500 0.144 0.259 1
# - total DFT energy (no corrections) (eV per atom) = -4.163
# - energy of formation from the pure elements (eV per atom) = -0.267

No. 5
# NdSm2HoTl4 | Alexandria via LeMat-Bulk | PBE | optimized geometry
data_NdSm2HoTl4
_chemical_formula_sum 'Nd3 Sm6 Ho3 Tl12'
_space_group_name_H-M_alt 'R -3 m'
_space_group_IT_number 166
_space_group_name_Hall '-R 3 2"'
_cell_length_a 5.4472
_cell_length_b 5.4472
_cell_length_c 26.7600
_cell_angle_alpha 90.00
_cell_angle_beta 90.00
_cell_angle_gamma 120.00
loop_
_atom_site_label
_atom_site_type_symbol
_atom_site_fract_x
_atom_site_fract_y
_atom_site_fract_z
_atom_site_occupancy
Nd1 Nd 0.0000 0.0000 0.0000 1
Sm1 Sm 0.0000 0.0000 0.2493 1
Ho1 Ho 0.0000 0.0000 0.5000 1
Tl1 Tl 0.0000 0.0000 0.1264 1
Tl2 Tl 0.0000 0.0000 0.3765 1
# - total DFT energy (no corrections) (eV per atom) = -3.895
# - energy of formation from the pure elements (eV per atom) = -0.364

No. 6
# NdSmHoTl | Alexandria via LeMat-Bulk | PBE | optimized geometry
data_NdSmHoTl
_chemical_formula_sum 'Nd1 Sm1 Ho1 Tl1'
_space_group_name_H-M_alt 'P m m m'
_space_group_IT_number 47
_space_group_name_Hall '-P 2 2'
_cell_length_a 4.875
_cell_length_b 4.901
_cell_length_c 4.996
_cell_angle_alpha 90.00
_cell_angle_beta 90.00
_cell_angle_gamma 90.00
loop_
_atom_site_label
_atom_site_type_symbol
_atom_site_fract_x
_atom_site_fract_y
_atom_site_fract_z
_atom_site_occupancy
Nd1 Nd 0.000 0.000 0.000 1
Sm1 Sm 0.500 0.500 0.000 1
Ho1 Ho 0.500 0.000 0.500 1
Tl1 Tl 0.000 0.500 0.500 1
# - total DFT energy (no corrections) (eV per atom) = -4.298
# - ΔE to the lowest computed polymorph (meV per atom) = 0.0
# - energy of formation from the pure elements (eV per atom) = -0.190

No. 7
# NdSmHoTl | Alexandria via LeMat-Bulk | PBE | optimized geometry
data_NdSmHoTl
_chemical_formula_sum 'Nd4 Sm4 Ho4 Tl4'
_space_group_name_H-M_alt 'F -4 3 m'
_space_group_IT_number 216
_space_group_name_Hall 'F -4 2 3'
_cell_length_a 7.864
_cell_length_b 7.864
_cell_length_c 7.864
_cell_angle_alpha 90.00
_cell_angle_beta 90.00
_cell_angle_gamma 90.00
loop_
_atom_site_label
_atom_site_type_symbol
_atom_site_fract_x
_atom_site_fract_y
_atom_site_fract_z
_atom_site_occupancy
Nd1 Nd 0.000 0.000 0.000 1
Sm1 Sm 0.000 0.000 0.500 1
Ho1 Ho 0.250 0.250 0.750 1
Tl1 Tl 0.250 0.250 0.250 1
# - total DFT energy (no corrections) (eV per atom) = -4.169
# - ΔE to the lowest computed polymorph (meV per atom) = 128.8
# - energy of formation from the pure elements (eV per atom) = -0.061

No. 8
# Nd2SmHoTl4 | Alexandria via LeMat-Bulk | PBE | optimized geometry
data_Nd2SmHoTl4
_chemical_formula_sum 'Nd6 Sm3 Ho3 Tl12'
_space_group_name_H-M_alt 'R -3 m'
_space_group_IT_number 166
_space_group_name_Hall '-R 3 2"'
_cell_length_a 5.4642
_cell_length_b 5.4642
_cell_length_c 26.8268
_cell_angle_alpha 90.00
_cell_angle_beta 90.00
_cell_angle_gamma 120.00
loop_
_atom_site_label
_atom_site_type_symbol
_atom_site_fract_x
_atom_site_fract_y
_atom_site_fract_z
_atom_site_occupancy
Nd1 Nd 0.0000 0.0000 0.2494 1
Sm1 Sm 0.0000 0.0000 0.0000 1
Ho1 Ho 0.0000 0.0000 0.5000 1
Tl1 Tl 0.0000 0.0000 0.1258 1
Tl2 Tl 0.0000 0.0000 0.3759 1
# - total DFT energy (no corrections) (eV per atom) = -3.905
# - energy of formation from the pure elements (eV per atom) = -0.368